CsY2PtC: optimized geometry, PBE.

abc: 5.6174 5.6174 4.2575
angles: 90.00 90.00 90.00
Positions (direct):
Cs1 0.0000 0.0000 0.0000
Y1 0.0000 0.5000 0.0000
Y2 0.5000 0.0000 0.0000
Pt1 0.5000 0.5000 0.5000
C1 0.0000 0.0000 0.5000

Output
Space group: P4/mmm (123)
ΔH_f (0 K) in eV/atom: 1.954
DOS(E_F) in states/eV/f.u.: 4.1
Magnetization in μB per formula unit: 0.0